1.
First-principles (PBE) data for crystalline La2ErBePd6 at its relaxed geometry, as listed in Alexandria.

Unit cell a=5.872 b=8.174 c=8.175 alpha=42.10 beta=68.95 gamma=90.00
Positions (direct):
1 Pd 0.225 0.267 0.042
2 Pd 0.775 0.733 0.958
3 Pd 0.267 0.225 0.467
4 Pd 0.733 0.267 0.042
5 Pd 0.733 0.775 0.533
6 Pd 0.267 0.733 0.958
7 La 0.230 0.770 0.540
8 La 0.770 0.230 0.460
9 Er 0.000 0.000 0.000
10 Be 0.500 0.500 0.000

* DFT formation energy: -657.3 meV per atom

***

2.
First-principles (PBE) data for crystalline LiAl2H4Pb2O4F6 at its relaxed geometry, as listed in Alexandria.

Unit cell a=5.782 b=6.115 c=7.401 alpha=113.92 beta=84.89 gamma=104.56
Each line ends with the local moment (μB).
Positions (direct):
1 H 0.887 0.292 0.978  0.00
2 H 0.092 0.702 0.022  0.00
3 H 0.900 0.265 0.414  0.00
4 H 0.196 0.770 0.495  0.00
5 F 0.198 0.530 0.787  0.01
6 F 0.578 0.741 0.186  0.02
7 F 0.356 0.185 0.830  0.01
8 F 0.826 0.459 0.236  0.01
9 F 0.404 0.229 0.512  0.01
10 F 0.601 0.779 0.525  0.00
11 Al 0.837 0.790 0.332  0.00
12 Al 0.136 0.199 0.671  0.00
13 Li 0.617 0.129 0.649  0.00
14 O 0.032 0.839 0.123  0.00
15 O 0.903 0.152 0.475  0.01
16 O 0.880 0.166 0.843  0.01
17 O 0.065 0.852 0.526  0.01
18 Pb 0.369 0.189 0.169  0.21
19 Pb 0.683 0.772 0.858  0.16

* polymorph energy (0 for the lowest one): 2 meV per atom